No. 1
## CdGa2TcO8 (PBE)

Data for a geometry-optimized CdGa2TcO8 structure.

Lattice parameters (Å, degrees): 4.6852 4.6832 6.3343 90.00 90.00 91.40
Last column: magnetic moment on the atom in μB.
Element x y z (fractional)
1 O 0.3228 0.3219 0.5000  0.07
2 O 0.6998 0.7001 0.0000  0.02
3 O 0.8005 0.1998 0.2072  0.01
4 O 0.1995 0.8002 0.2072  0.01
5 O 0.8005 0.1998 0.7928  0.01
6 O 0.1995 0.8002 0.7928  0.01
7 Ga 0.5000 0.5000 0.2480  0.00
8 Ga 0.5000 0.5000 0.7520  0.00
9 Cd 0.0000 0.0000 0.5000  0.01
10 Tc 0.0000 0.0000 0.0000  -0.01
11 O 0.6772 0.6781 0.5000  0.07
12 O 0.3002 0.2999 0.0000  0.02

**Formation energy without anion corrections**: -1.209 eV/atom
**Calculated volume**: 139 Å³/cell
**DOS at the Fermi energy**: 6.266 states/eV per cell
**Energy**: -71.5 eV/cell

No. 2
## KSr2YAu (PBE)

Data for a geometry-optimized KSr2YAu structure.

Lattice parameters (Å, degrees): 6.3760 5.8763 6.3760 90.00 90.00 90.00
Last column: magnetic moment on the atom in μB.
Element x y z (fractional)
1 Y 0.0000 0.5000 0.0000  0.76
2 Au 0.5000 0.5000 0.5000  0.00
3 Sr 0.0000 0.0000 0.5000  0.11
4 K 0.0000 0.0000 0.0000  0.15
5 Sr 0.5000 0.0000 0.0000  0.08

**Energy relative to the elements**: 1.095 eV/atom
**Calculated volume**: 239 Å³/cell
**DOS at the Fermi energy**: 4.694 states/eV per cell
**Energy**: -8.7 eV/cell

No. 3
## SrCu3F (PBE)

Data for a geometry-optimized SrCu3F structure.

Lattice parameters (Å, degrees): 5.6162 5.6162 5.6162 90.00 90.00 90.00
Last column: magnetic moment on the atom in μB.
Element x y z (fractional)
1 F 0.5000 0.5000 0.5000  0.26
2 Cu 0.5000 0.0000 0.0000  0.18
3 Cu 0.0000 0.0000 0.5000  0.16
4 Sr 0.0000 0.0000 0.0000  0.11
5 Cu 0.0000 0.5000 0.0000  0.20

**Formation energy without anion corrections**: 1.144 eV/atom
**Calculated volume**: 177 Å³/cell
**DOS at the Fermi energy**: 7.711 states/eV per cell
**Energy relative to the lowest polymorph listed for this composition**: 106.65 kJ/mol of atoms
**Energy**: -10.1 eV/cell

No. 4
## RbCe2Bi2O7 (PBE)

Data for a geometry-optimized RbCe2Bi2O7 structure.

Lattice parameters (Å, degrees): 4.1892 5.9918 10.3163 109.85 101.71 90.00
Last column: magnetic moment on the atom in μB.
Element x y z (fractional)
1 O 0.8518 0.2700 0.7037  -0.01
2 O 0.5000 0.5003 0.0000  0.00
3 Bi 0.7192 0.2308 0.4384  -0.01
4 O 0.3901 0.7756 0.7801  -0.01
5 O 0.7429 0.6272 0.4859  0.00
6 O 0.6099 0.2244 0.2198  0.01
7 O 0.1481 0.7300 0.2962  0.01
8 Bi 0.2808 0.7691 0.5615  0.01
9 Ce 0.6129 0.5920 0.2258  -0.49
10 Ce 0.3871 0.4080 0.7742  0.49
11 O 0.2570 0.3728 0.5141  0.00
12 Rb 0.0001 0.9996 0.0002  0.00

**Formation energy without anion corrections**: -2.165 eV/atom
**Calculated volume**: 238 Å³/cell
**DOS at the Fermi energy**: 8.936 states/eV per cell
**Energy**: -81.3 eV/cell

No. 5
## ZnCdIn2 (PBE)

Data for a geometry-optimized ZnCdIn2 structure.

Lattice parameters (Å, degrees): 4.6484 3.2686 6.5285 72.61 90.00 90.00
Element x y z (fractional)
1 In 0.0000 0.4249 0.4879
2 Zn 0.5000 0.2500 0.2500
3 Cd 0.5000 0.7500 0.7500
4 In 0.0000 0.0751 0.0121

**Energy relative to the elements**: 0.096 eV/atom
**Calculated volume**: 95 Å³/cell
**DOS at the Fermi energy**: 1.504 states/eV per cell
**Energy relative to the lowest polymorph listed for this composition**: 3.86 kJ/mol of atoms
**Energy**: -7.3 eV/cell

No. 6
## Ba6Sr (PBE)

Data for a geometry-optimized Ba6Sr structure.

Lattice parameters (Å, degrees): 7.0535 7.0535 9.6105 90.00 90.00 90.00
Element x y z (fractional)
1 Ba 0.0000 0.5000 0.7463
2 Ba 0.5000 0.0000 0.2537
3 Ba 0.5000 0.0000 0.7463
4 Sr 0.0000 0.0000 0.0000
5 Ba 0.0000 0.0000 0.5000
6 Ba 0.5000 0.5000 0.0000
7 Ba 0.0000 0.5000 0.2537

**Energy relative to the elements**: 0.181 eV/atom
**Calculated volume**: 478 Å³/cell
**DOS at the Fermi energy**: 15.112 states/eV per cell
**Energy relative to the lowest polymorph listed for this composition**: 17.35 kJ/mol of atoms
**Energy**: -12.0 eV/cell

No. 7
## Ac2TbPrSe6 (PBE)

Data for a geometry-optimized Ac2TbPrSe6 structure.

Lattice parameters (Å, degrees): 7.2728 7.9991 10.7543 90.00 89.38 90.00
Element x y z (fractional)
1 Pr 0.5000 0.0000 0.5000
2 Se 0.6820 0.3164 0.5707
3 Se 0.1724 0.1904 0.4297
4 Se 0.8180 0.8164 0.9293
5 Se 0.3579 0.9495 0.7554
6 Ac 0.5374 0.5956 0.7519
7 Ac 0.0374 0.9044 0.2519
8 Se 0.3276 0.6904 0.0703
9 Se 0.8276 0.8096 0.5703
10 Se 0.1820 0.1836 0.0707
11 Se 0.3180 0.6836 0.4293
12 Se 0.1421 0.4495 0.7446
13 Tb 0.0000 0.5000 0.5000
14 Se 0.6724 0.3096 0.9297
15 Se 0.8579 0.5505 0.2554
16 Pr 0.0000 0.5000 0.0000
17 Ac 0.4626 0.4044 0.2481
18 Tb 0.5000 0.0000 0.0000
19 Ac 0.9626 0.0956 0.7481
20 Se 0.6421 0.0505 0.2446

**Formation energy without anion corrections**: -1.947 eV/atom
**Calculated volume**: 626 Å³/cell
**DOS at the Fermi energy**: 0.000 states/eV per cell
**Energy**: -116.0 eV/cell

No. 8
## Ca7P2Pb (PBE)

Data for a geometry-optimized Ca7P2Pb structure.

Lattice parameters (Å, degrees): 4.9199 4.9199 12.5048 101.35 101.35 90.00
Element x y z (fractional)
1 Ca 0.1097 0.6097 0.2195
2 P 0.3202 0.3202 0.6405
3 Pb 0.0000 0.0000 0.0000
4 Ca 0.8903 0.3903 0.7805
5 Ca 0.2500 0.7500 0.5000
6 Ca 0.6097 0.1097 0.2195
7 P 0.6798 0.6798 0.3595
8 Ca 0.7500 0.2500 0.5000
9 Ca 0.5000 0.5000 0.0000
10 Ca 0.3903 0.8903 0.7805

**Energy relative to the elements**: -0.601 eV/atom
**Calculated volume**: 291 Å³/cell
**DOS at the Fermi energy**: 6.746 states/eV per cell
**Energy**: -34.5 eV/cell

No. 9
## TcAs2Ru (PBE)

Data for a geometry-optimized TcAs2Ru structure.

Lattice parameters (Å, degrees): 4.8293 4.8293 4.8293 132.03 132.03 70.19
Element x y z (fractional)
1 Ru 0.5000 0.5000 0.0000
2 Tc 0.7500 0.2500 0.5000
3 As 0.2500 0.7500 0.5000
4 As 0.0000 0.0000 0.0000

**Energy relative to the elements**: 0.285 eV/atom
**Calculated volume**: 61 Å³/cell
**DOS at the Fermi energy**: 3.515 states/eV per cell
**Energy relative to the lowest polymorph listed for this composition**: 39.46 kJ/mol of atoms
**Energy**: -27.8 eV/cell

No. 10
## PuTi2Mo (PBE)

Data for a geometry-optimized PuTi2Mo structure.

Lattice parameters (Å, degrees): 4.5242 4.0021 4.0021 90.00 90.00 90.00
Last column: magnetic moment on the atom in μB.
Element x y z (fractional)
1 Pu 0.5000 0.5000 0.5000  4.83
2 Ti 0.0000 0.5000 0.0000  0.40
3 Mo 0.5000 0.0000 0.0000  -0.29
4 Ti 0.0000 0.0000 0.5000  0.40

**Energy relative to the elements**: 0.202 eV/atom
**Calculated volume**: 72 Å³/cell
**DOS at the Fermi energy**: 6.377 states/eV per cell
**Energy relative to the lowest polymorph listed for this composition**: 15.03 kJ/mol of atoms
**Energy**: -40.1 eV/cell

No. 11
## YFePbCl2 (PBE)

Data for a geometry-optimized YFePbCl2 structure.

Lattice parameters (Å, degrees): 5.4370 5.2948 5.4370 90.00 90.00 90.00
Last column: magnetic moment on the atom in μB.
Element x y z (fractional)
1 Y 0.5000 0.5000 0.5000  -0.61
2 Fe 0.0000 0.5000 0.0000  2.90
3 Cl 0.0000 0.0000 0.5000  -0.01
4 Pb 0.0000 0.0000 0.0000  -0.08
5 Cl 0.5000 0.0000 0.0000  -0.01

**Formation energy without anion corrections**: 0.305 eV/atom
**Calculated volume**: 157 Å³/cell
**DOS at the Fermi energy**: 7.001 states/eV per cell
**Energy**: -20.8 eV/cell

No. 12
## ScBeRe2 (PBE)

Data for a geometry-optimized ScBeRe2 structure.

Lattice parameters (Å, degrees): 8.0161 8.0161 8.0161 21.14 21.14 21.14
Element x y z (fractional)
1 Re 0.0148 0.0148 0.0148
2 Re 0.4852 0.4852 0.4852
3 Be 0.7500 0.7500 0.7500
4 Sc 0.2500 0.2500 0.2500

**Energy relative to the elements**: 0.251 eV/atom
**Calculated volume**: 59 Å³/cell
**DOS at the Fermi energy**: 3.811 states/eV per cell
**Energy**: -34.0 eV/cell